The following is a GGA-PBEsol calculation of a geometry-optimized TiCr3Se structure, from Alexandria via LeMat-Bulk.

- total energy (eV for the cell shown) = -35.26
- E_form (uncorrected) (eV/atom) = 1.529

a b c (Å): 4.499 4.499 4.499
angles (deg): 90.00 90.00 90.00
Site moments in Bohr magnetons follow the coordinates.
Fractional positions:
Cr  0.000  0.500  0.000  2.89
Cr  0.000  0.000  0.500  2.89
Ti  0.000  0.000  0.000  -0.48
Se  0.500  0.500  0.500  -0.10
Cr  0.500  0.000  0.000  2.89